The following is a DFT calculation (PBE) of a relaxed structure of Sc2AlCl.

a = 7.008 Å, b = 7.008 Å, c = 7.008 Å
α = 90.00°, β = 90.00°, γ = 90.00°
Sites, in units of the cell vectors:
Sc1 0.000 0.000 0.000
Sc2 0.000 0.500 0.500
Sc3 0.250 0.250 0.250
Sc4 0.250 0.750 0.750
Sc5 0.500 0.000 0.500
Sc6 0.500 0.500 0.000
Sc7 0.750 0.250 0.750
Sc8 0.750 0.750 0.250
Al1 0.250 0.250 0.750
Al2 0.250 0.750 0.250
Al3 0.750 0.250 0.250
Al4 0.750 0.750 0.750
Cl1 0.000 0.000 0.500
Cl2 0.000 0.500 0.000
Cl3 0.500 0.000 0.000
Cl4 0.500 0.500 0.500

Calculated values
The uncorrected energy is -70.38 eV for the cell shown. The uncorrected formation energy is 164 meV per atom. For the offset from the most stable computed form, the calculation gives 0.969 eV/atom.